## NbAgAs2Se (GGA-PBE)

Data for a geometry-optimized NbAgAs2Se structure.

Values from the calculation:
Theoretical density   5.61 g/cm³
Volume   127.1 Å³/f.u.
Energy above the most stable polymorph in this dataset   0 meV/atom
D(E_F)   3.9 states/eV per cell
ΔE_f (raw)   1.47 eV/f.u.
Symmetry   P4/mmm, No. 123
Total magnetization   0.000 μB/f.u.

Cell: 5.0475 5.0475 4.9906 Å, 90.00 90.00 90.00°
Fractional positions:
As 0.0000 0.5000 0.0000
As 0.5000 0.0000 0.0000
Nb 0.0000 0.0000 0.0000
Se 0.0000 0.0000 0.5000
Ag 0.5000 0.5000 0.5000



## Y7RuSe5 (GGA-PBE)

Data for a geometry-optimized Y7RuSe5 structure.

Values from the calculation:
Theoretical density   5.68 g/cm³
Volume   326.7 Å³/f.u.
D(E_F)   12.9 states/eV per cell
ΔE_f (raw)   -18.57 eV/f.u.
Symmetry   Cmc2_1, No. 36
Total magnetization   0.000 μB/f.u.

Cell: 3.9531 7.0177 24.5437 Å, 90.00 90.00 106.36°
Fractional positions:
Se 0.7295 0.4591 0.9289
Se 0.2879 0.5757 0.0725
Se 0.7128 0.4256 0.5725
Se 0.4353 0.8706 0.6449
Se 0.2710 0.5420 0.4288
Se 0.5653 0.1306 0.1449
Se 0.4534 0.9068 0.8589
Se 0.5472 0.0943 0.3589
Se 0.9885 0.9771 0.4982
Se 0.0120 0.0240 0.9983
Y 0.0766 0.1533 0.6113
Y 0.4561 0.9122 0.2486
Y 0.7869 0.5738 0.6820
Y 0.3523 0.7046 0.5390
Y 0.2137 0.4274 0.1819
Y 0.6483 0.2967 0.0390
Y 0.8941 0.7881 0.3725
Y 0.3696 0.7391 0.9655
Y 0.6310 0.2620 0.4655
Y 0.9239 0.8479 0.1114
Y 0.5444 0.0889 0.7486
Y 0.1065 0.2129 0.8725
Y 0.8070 0.6141 0.8177
Y 0.1935 0.3870 0.3176
Ru 0.1910 0.3819 0.7601
Ru 0.8096 0.6192 0.2601